# 1
5
Lattice="4.6608 0.0000 0.0000 0.0000 4.6701 0.0000 0.0000 0.0000 4.6608" Properties=species:S:1:pos:R:3 comment="ScTlZnOs2 | Alexandria | PBE | optimized geometry" e_form_ev_per_atom=1.254 pbc="T T T"
Os 0.0000 0.0000 2.3304
Os 2.3304 0.0000 0.0000
Tl 0.0000 2.3350 0.0000
Zn 0.0000 0.0000 0.0000
Sc 2.3304 2.3350 2.3304

=====

# 2
6
Lattice="-0.6513 -2.7220 1.7160 -1.2997 -2.6148 -1.5006 7.9296 -4.9896 -1.7649" Properties=species:S:1:pos:R:3 comment="ZrRhC | Alexandria | PBE | optimized geometry" e_form_ev_per_atom=-0.179 pbc="T T T"
Zr -0.0449 -4.0278 -0.1252
Zr 6.0235 -6.2986 -1.4243
Rh 1.3256 -6.5630 -0.4860
Rh 4.6530 -3.7635 -1.0635
C 1.9126 -2.7380 -0.4768
C 4.0660 -7.5885 -1.0726

=====

# 3
5
Lattice="4.1398 0.0000 0.0000 0.0000 4.1398 0.0000 2.0699 2.0699 7.3537" Properties=species:S:1:pos:R:3 comment="Ge2As2I | Alexandria | PBE | optimized geometry" polymorph_energy_ev_per_fu=0.14 formation_energy_uncorrected_kj_per_mol_atoms=11.6 pbc="T T T"
I 0.0000 0.0000 0.0000
Ge 2.0699 2.0699 1.8154
Ge 4.1398 4.1398 5.5383
As 4.1398 2.0699 3.6768
As 2.0699 4.1398 3.6768